No. 1
Entry from Alexandria via LeMat-Bulk: LaSiBi2 at its PBEsol-relaxed geometry (SCAN).

For the formation energy from raw total energies, the calculation gives -194 meV/atom. The crystal system is tetragonal.

The space group is I-42d (No. 122) and the conventional cell measures 8.6264, 8.6264 and 6.2241 Å, with angles of 90.00, 90.00 and 90.00 degrees. The distinct sites, in fractional coordinates, are La at (0.0000, 0.0000, 0.0000), Si at (0.0000, 0.0000, 0.5000) and Bi at (0.2080, 0.7500, 0.6250).


No. 2
Entry from Alexandria via LeMat-Bulk: La2ZnSiBi at its PBEsol-relaxed geometry (SCAN).

For the formation energy from raw total energies, the calculation gives -8 meV/atom. The crystal system is tetragonal.

The space group is P4/mmm (No. 123) and the conventional cell measures 5.6131, 5.6131 and 5.2726 Å, with angles of 90.00, 90.00 and 90.00 degrees. The distinct sites, in fractional coordinates, are La at (0.0000, 0.5000, 0.0000), Zn at (0.0000, 0.0000, 0.5000), Si at (0.5000, 0.5000, 0.0000) and Bi at (0.5000, 0.5000, 0.5000).


No. 3
Entry from Alexandria via LeMat-Bulk: La4SnBi2 at its PBEsol-relaxed geometry (SCAN).

Its formation energy is -1.039 eV/atom. The crystal system is tetragonal.

The space group is I-42d (No. 122) and the conventional cell measures 9.6947, 9.6947 and 9.7283 Å, with angles of 90.00, 90.00 and 90.00 degrees. The distinct sites, in fractional coordinates, are La at (0.0705, 0.6803, 0.4503), Sn at (0.0000, 0.0000, 0.5000) and Bi at (0.1223, 0.7500, 0.1250).


No. 4
Entry from Alexandria via LeMat-Bulk: La3TcBi at its PBEsol-relaxed geometry (SCAN).

Its formation energy is -0.481 eV/atom. The crystal system is cubic. The relative energy among the computed polymorphs comes out at 0 meV/atom.

The space group is Pm-3m (No. 221) and the conventional cell measures 5.3760, 5.3760 and 5.3760 Å, with angles of 90.00, 90.00 and 90.00 degrees. The distinct sites, in fractional coordinates, are La at (0.0000, 0.0000, 0.5000), Tc at (0.0000, 0.0000, 0.0000) and Bi at (0.5000, 0.5000, 0.5000).


No. 5
Entry from Alexandria via LeMat-Bulk: LaBiTe2 at its PBEsol-relaxed geometry (SCAN).

For the formation energy from raw total energies, the calculation gives -760 meV/atom. The crystal system is trigonal.

The space group is R-3m (No. 166, hexagonal axes) and the conventional cell measures 4.3036, 4.3036 and 29.7056 Å, with angles of 90.00, 90.00 and 120.00 degrees. The distinct sites, in fractional coordinates, are La at (0.0000, 0.0000, 0.0000), Bi at (0.0000, 0.0000, 0.5000) and Te at (0.0000, 0.0000, 0.3985).


No. 6
Entry from Alexandria via LeMat-Bulk: La2TiBiTe at its PBEsol-relaxed geometry (SCAN).

For the formation energy from raw total energies, the calculation gives -304 meV/atom. The crystal system is tetragonal.

The space group is P4/mmm (No. 123) and the conventional cell measures 5.9082, 5.9082 and 4.9805 Å, with angles of 90.00, 90.00 and 90.00 degrees. The distinct sites, in fractional coordinates, are La at (0.0000, 0.5000, 0.0000), Ti at (0.0000, 0.0000, 0.5000), Bi at (0.5000, 0.5000, 0.5000) and Te at (0.0000, 0.0000, 0.0000).


No. 7
Entry from Alexandria via LeMat-Bulk: LaBiW3 at its PBEsol-relaxed geometry (SCAN).

Its formation energy is 2.494 eV/atom. The crystal system is cubic.

The space group is Pm-3m (No. 221) and the conventional cell measures 5.0446, 5.0446 and 5.0446 Å, with angles of 90.00, 90.00 and 90.00 degrees. The distinct sites, in fractional coordinates, are La at (0.0000, 0.0000, 0.0000), Bi at (0.5000, 0.5000, 0.5000) and W at (0.0000, 0.5000, 0.5000).


No. 8
Entry from Alexandria via LeMat-Bulk: La2Zn2Bi at its PBEsol-relaxed geometry (SCAN).

Its formation energy is -0.401 eV/atom. The crystal system is tetragonal.

The space group is I4/mmm (No. 139) and the conventional cell measures 3.9583, 3.9583 and 17.2944 Å, with angles of 90.00, 90.00 and 90.00 degrees. The distinct sites, in fractional coordinates, are La at (0.0000, 0.0000, 0.1095), Zn at (0.0000, 0.5000, 0.2500) and Bi at (0.0000, 0.0000, 0.5000).


No. 9
Entry from Alexandria via LeMat-Bulk: LaZn2Bi2 at its PBEsol-relaxed geometry (SCAN).

Its formation energy is -0.361 eV/atom. The crystal system is tetragonal.

The space group is I4/mmm (No. 139) and the conventional cell measures 5.1341, 5.1341 and 9.6880 Å, with angles of 90.00, 90.00 and 90.00 degrees. The distinct sites, in fractional coordinates, are La at (0.0000, 0.0000, 0.0000), Zn at (0.0000, 0.0000, 0.3782) and Bi at (0.0000, 0.5000, 0.2500).


No. 10
Entry from Alexandria via LeMat-Bulk: LaZrBi3 at its PBEsol-relaxed geometry (SCAN).

Its formation energy is -0.218 eV/atom. The crystal system is cubic.

The space group is Pm-3m (No. 221) and the conventional cell measures 5.5699, 5.5699 and 5.5699 Å, with angles of 90.00, 90.00 and 90.00 degrees. The distinct sites, in fractional coordinates, are La at (0.0000, 0.0000, 0.0000), Zr at (0.5000, 0.5000, 0.5000) and Bi at (0.0000, 0.5000, 0.5000).


No. 11
Entry from Alexandria via LeMat-Bulk: Li3Bi at its PBEsol-relaxed geometry (SCAN).

Its formation energy is -0.561 eV/atom. The crystal system is hexagonal.

The space group is P6_3/mmc (No. 194) and the conventional cell measures 4.7518, 4.7518 and 8.4441 Å, with angles of 90.00, 90.00 and 120.00 degrees. The distinct sites, in fractional coordinates, are Li at (0.0000, 0.0000, 0.2500), Li at (0.3333, 0.6667, 0.0877) and Bi at (0.3333, 0.6667, 0.7500).


No. 12
Entry from Alexandria via LeMat-Bulk: Li3Bi at its PBEsol-relaxed geometry (SCAN).

Its formation energy is -0.572 eV/atom. The crystal system is cubic.

The space group is Fm-3m (No. 225) and the conventional cell measures 6.6604, 6.6604 and 6.6604 Å, with angles of 90.00, 90.00 and 90.00 degrees. The distinct sites, in fractional coordinates, are Li at (0.0000, 0.0000, 0.0000), Li at (0.2500, 0.2500, 0.2500) and Bi at (0.0000, 0.0000, 0.5000).


| no. | E_tot (eV/atom) |
| --- | --- |
| 1 | -52.764 |
| 2 | -37.672 |
| 3 | -53.254 |
| 4 | -49.072 |
| 5 | -49.806 |
| 6 | -43.918 |
| 7 | -63.656 |
| 8 | -38.766 |
| 9 | -45.820 |
| 10 | -62.127 |
| 11 | -21.998 |
| 12 | -22.009 |